# AcMg2Ga2Hg2 PBE optimized geometry
data_AcMg2Ga2Hg2
_chemical_formula_sum 'Ac3 Mg6 Ga6 Hg6'
_space_group_name_H-M_alt 'R -3 m'
_space_group_IT_number 166
_space_group_name_Hall '-R 3 2"'
_cell_length_a 4.7149
_cell_length_b 4.7149
_cell_length_c 25.8487
_cell_angle_alpha 90.00
_cell_angle_beta 90.00
_cell_angle_gamma 120.00
loop_
_atom_site_label
_atom_site_type_symbol
_atom_site_fract_x
_atom_site_fract_y
_atom_site_fract_z
Ac1 Ac 0.0000 0.0000 0.0000
Mg1 Mg 0.0000 0.0000 0.1396
Ga1 Ga 0.0000 0.0000 0.2561
Hg1 Hg 0.0000 0.0000 0.4262
# Density of states at the Fermi level (states/eV/cell): 7.72
# E_form (eV/atom): -0.32

---

# TaHgP3 PBE optimized geometry
data_TaHgP3
_chemical_formula_sum 'Ta1 Hg1 P3'
_space_group_name_H-M_alt 'P m -3 m'
_space_group_IT_number 221
_space_group_name_Hall '-P 4 2 3'
_cell_length_a 4.848
_cell_length_b 4.848
_cell_length_c 4.848
_cell_angle_alpha 90.00
_cell_angle_beta 90.00
_cell_angle_gamma 90.00
loop_
_atom_site_label
_atom_site_type_symbol
_atom_site_fract_x
_atom_site_fract_y
_atom_site_fract_z
Ta1 Ta 0.000 0.000 0.000
Hg1 Hg 0.500 0.500 0.500
P1 P 0.000 0.000 0.500
# ΔE to the lowest computed polymorph (eV/atom): 0.000
# Density of states at the Fermi level (states/eV/cell): 3.79
# E_form (eV/atom): 0.37

---

# BaZrAs2 PBE optimized geometry
data_BaZrAs2
_chemical_formula_sum 'Ba2 Zr2 As4'
_space_group_name_H-M_alt 'I m m m'
_space_group_IT_number 71
_space_group_name_Hall '-I 2 2'
_cell_length_a 4.286
_cell_length_b 6.382
_cell_length_c 8.200
_cell_angle_alpha 90.00
_cell_angle_beta 90.00
_cell_angle_gamma 90.00
loop_
_atom_site_label
_atom_site_type_symbol
_atom_site_fract_x
_atom_site_fract_y
_atom_site_fract_z
Ba1 Ba 0.000 0.000 0.000
Zr1 Zr 0.000 0.000 0.500
As1 As 0.000 0.500 0.210
# ΔE to the lowest computed polymorph (eV/atom): 0.489
# Density of states at the Fermi level (states/eV/cell): 3.07
# E_form (eV/atom): -0.59

---

# Mg2ZnTc PBE optimized geometry
data_Mg2ZnTc
_chemical_formula_sum 'Mg8 Zn4 Tc4'
_space_group_name_H-M_alt 'I -4 2 d'
_space_group_IT_number 122
_space_group_name_Hall 'I -4 2bw'
_cell_length_a 7.221
_cell_length_b 7.221
_cell_length_c 5.419
_cell_angle_alpha 90.00
_cell_angle_beta 90.00
_cell_angle_gamma 90.00
loop_
_atom_site_label
_atom_site_type_symbol
_atom_site_fract_x
_atom_site_fract_y
_atom_site_fract_z
Mg1 Mg 0.237 0.250 0.125
Zn1 Zn 0.000 0.000 0.000
Tc1 Tc 0.000 0.000 0.500
# ΔE to the lowest computed polymorph (eV/atom): 0.391
# Density of states at the Fermi level (states/eV/cell): 3.08
# E_form (eV/atom): 0.48